No. 1
Below is Hg3RuCl after structural relaxation, with properties calculated at the GGA-PBE level.

Computed properties:
Total moment: 2.86 μB per cell
Theoretical density: 7.2 g/cm³
Energy: -1.133 eV per atom
Raw formation energy: 614 kJ/mol of formula units
SG: Pm-3m (221)
Energy above the most stable polymorph in this dataset: 0.846 eV/atom

Cell lengths 5.5357, 5.5357, 5.5357 Å; angles 90.00, 90.00, 90.00 degrees
With the nearest neighbours (Å) after each atom.
Fractional coordinates of all 5 atoms:
Ru1 0.5000 0.5000 0.5000  12 Hg 3.91
Hg1 0.0000 0.5000 0.0000  2 Cl 2.77
Hg2 0.0000 0.0000 0.5000  2 Cl 2.77
Hg3 0.5000 0.0000 0.0000  2 Cl 2.77
Cl1 0.0000 0.0000 0.0000  6 Hg 2.77

***

No. 2
Below is HgRuCl2 after structural relaxation, with properties calculated at the GGA-PBE level.

Computed properties:
Total moment: 0.01 μB per cell
Theoretical density: 6.2 g/cm³
Energy: -3.405 eV per atom
Raw formation energy: -34 kJ/mol of formula units
SG: P2/m (10)
Energy above the most stable polymorph in this dataset: 0.091 eV/atom

Cell lengths 3.4972, 2.9885, 9.6066 Å; angles 88.37, 90.00, 90.00 degrees
With the nearest neighbours (Å) after each atom.
Fractional coordinates of all 4 atoms:
Ru1 0.5000 0.7500 0.7500  4 Cl 2.34
Hg1 0.5000 0.2500 0.2500  2 Hg 2.99
Cl1 0.0000 0.7350 0.9112  2 Ru 2.34
Cl2 0.0000 0.7650 0.5888  2 Ru 2.34

***

No. 3
Below is HgRuCl2 after structural relaxation, with properties calculated at the GGA-PBE level.

Computed properties:
Total moment: 0.00 μB per cell
Theoretical density: 6.2 g/cm³
Energy: -3.401 eV per atom
Raw formation energy: -32 kJ/mol of formula units
SG: Immm (71)
Energy above the most stable polymorph in this dataset: 0.096 eV/atom

Cell lengths 7.1033, 7.1033, 7.1033 Å; angles 155.30, 138.35, 49.02 degrees
With the nearest neighbours (Å) after each atom.
Fractional coordinates of all 4 atoms:
Ru1 0.2500 0.7500 0.5000  4 Cl 2.41
Hg1 0.7500 0.2500 0.5000  4 Ru 2.95, 2 Hg 3.04, 4 Cl 3.14
Cl1 0.1050 0.1050 0.0000  2 Ru 2.41
Cl2 0.3950 0.3950 0.0000  2 Ru 2.41

***

No. 4
Below is Hg2RuCl after structural relaxation, with properties calculated at the GGA-PBE level.

Computed properties:
Total moment: 2.55 μB per cell
Theoretical density: 9.9 g/cm³
Energy: -2.577 eV per atom
Raw formation energy: 137 kJ/mol of formula units
SG: P4mm (99)
Energy above the most stable polymorph in this dataset: 0.158 eV/atom

Cell lengths 3.1237, 3.1237, 9.2442 Å; angles 90.00, 90.00, 90.00 degrees
With the nearest neighbours (Å) after each atom.
Fractional coordinates of all 4 atoms:
Cl1 0.5000 0.5000 0.6745  4 Ru 2.68
Hg1 0.0000 0.0000 0.0113  8 Hg 3.12-3.49
Hg2 0.5000 0.5000 0.3033  4 Ru 2.93, 4 Hg 3.12
Ru1 0.0000 0.0000 0.5110  4 Cl 2.68, 4 Hg 2.93

***

No. 5
Below is Hg2RuCl after structural relaxation, with properties calculated at the GGA-PBE level.

Computed properties:
Total moment: 0.95 μB per cell
Theoretical density: 11.2 g/cm³
Energy: -2.211 eV per atom
Raw formation energy: 278 kJ/mol of formula units
SG: F-43m (216)
Energy above the most stable polymorph in this dataset: 0.524 eV/atom

Cell lengths 4.8370, 4.8370, 4.8370 Å; angles 60.00, 60.00, 60.00 degrees
With the nearest neighbours (Å) after each atom.
Fractional coordinates of all 4 atoms:
Cl1 0.5000 0.5000 0.5000  4 Hg 2.96, 4 Ru 2.96
Hg1 0.0000 0.0000 0.0000  4 Hg 2.96, 4 Ru 2.96
Hg2 0.7500 0.7500 0.7500  4 Cl 2.96, 4 Hg 2.96
Ru1 0.2500 0.2500 0.2500  4 Hg 2.96, 4 Cl 2.96

***

No. 6
Below is HgRuCl2 after structural relaxation, with properties calculated at the GGA-PBE level.

Computed properties:
Total moment: 3.35 μB per cell
Theoretical density: 7.3 g/cm³
Energy: -2.701 eV per atom
Raw formation energy: 238 kJ/mol of formula units
SG: P4/mmm (123)
Energy above the most stable polymorph in this dataset: 0.795 eV/atom

Cell lengths 5.0282, 5.0282, 3.3694 Å; angles 90.00, 90.00, 90.00 degrees
With the nearest neighbours (Å) after each atom.
Fractional coordinates of all 4 atoms:
Ru1 0.0000 0.5000 0.5000  8 Cl 3.03, 2 Ru 3.37
Hg1 0.5000 0.0000 0.5000  8 Cl 3.03, 2 Hg 3.37
Cl1 0.0000 0.0000 0.0000  4 Hg 3.03, 4 Ru 3.03, 2 Cl 3.37
Cl2 0.5000 0.5000 0.0000  4 Hg 3.03, 4 Ru 3.03, 2 Cl 3.37

***

No. 7
Below is Hg2RuCl after structural relaxation, with properties calculated at the GGA-PBE level.

Computed properties:
Total moment: 0.00 μB per cell
Theoretical density: 9.5 g/cm³
Energy: -2.735 eV per atom
Raw formation energy: 76 kJ/mol of formula units
SG: Imm2 (44)
Energy above the most stable polymorph in this dataset: 0.000 eV/atom

Cell lengths 7.0285, 7.0285, 4.8545 Å; angles 69.81, 69.81, 24.66 degrees
With the nearest neighbours (Å) after each atom.
Fractional coordinates of all 4 atoms:
Cl1 0.1604 0.1604 0.3397  2 Ru 2.38
Hg1 0.9927 0.9927 0.0074  4 Ru 2.87, 4 Hg 3.00-3.20
Hg2 0.8299 0.8299 0.6698  2 Ru 2.83, 2 Hg 3.00
Ru1 0.5170 0.5170 0.4831  2 Cl 2.38

***

No. 8
Below is HgRuCl after structural relaxation, with properties calculated at the GGA-PBE level.

Computed properties:
Total moment: 2.53 μB per cell
Theoretical density: 9.0 g/cm³
Energy: -3.335 eV per atom
Raw formation energy: 137 kJ/mol of formula units
SG: I4mm (107)
Energy above the most stable polymorph in this dataset: 0.101 eV/atom

Cell lengths 6.7435, 6.7435, 6.7435 Å; angles 153.13, 153.13, 38.37 degrees
With the nearest neighbours (Å) after each atom.
Fractional coordinates of all 3 atoms:
Cl1 0.0371 0.0371 0.0000  4 Ru 2.70
Hg1 0.3049 0.3049 0.0000  4 Ru 2.90, 4 Hg 3.13
Ru1 0.6580 0.6580 0.0000  4 Cl 2.70, 4 Hg 2.90

***

No. 9
Below is Hg2RuCl8 after structural relaxation, with properties calculated at the GGA-PBE level.

Computed properties:
Total moment: 2.08 μB per cell
Theoretical density: 3.7 g/cm³
Energy: -2.745 eV per atom
Raw formation energy: -535 kJ/mol of formula units
SG: C2/m (12)

Cell lengths 7.5825, 7.4508, 7.4508 Å; angles 57.44, 84.53, 84.53 degrees
With the nearest neighbours (Å) after each atom.
Fractional coordinates of all 11 atoms:
Hg1 0.2912 0.2132 0.2132  3 Cl 2.33-2.59
Hg2 0.7088 0.7868 0.7868  3 Cl 2.33-2.59
Ru1 0.0000 0.0000 0.0000  6 Cl 2.28-2.37
Cl1 0.8583 0.1325 0.6780  1 Ru 2.37, 1 Hg 2.59
Cl2 0.1417 0.3220 0.8675  1 Ru 2.37, 1 Hg 2.59
Cl3 0.7634 0.1235 0.1235  1 Ru 2.28
Cl4 0.2366 0.8765 0.8765  1 Ru 2.28
Cl5 0.8583 0.6780 0.1325  1 Ru 2.37, 1 Hg 2.59
Cl6 0.1417 0.8675 0.3220  1 Ru 2.37, 1 Hg 2.59
Cl7 0.4508 0.3556 0.3556  1 Hg 2.33
Cl8 0.5492 0.6444 0.6444  1 Hg 2.33

***

No. 10
Below is HgRuCl after structural relaxation, with properties calculated at the GGA-PBE level.

Computed properties:
Total moment: 1.75 μB per cell
Theoretical density: 9.3 g/cm³
Energy: -3.435 eV per atom
Raw formation energy: 108 kJ/mol of formula units
SG: P3m1 (156)
Energy above the most stable polymorph in this dataset: 0.000 eV/atom

Cell lengths 3.2761, 3.2761, 6.4781 Å; angles 90.00, 90.00, 120.00 degrees
With the nearest neighbours (Å) after each atom.
Fractional coordinates of all 3 atoms:
Cl1 0.0000 0.0000 0.9381  3 Ru 2.47
Hg1 0.6667 0.3333 0.3686  3 Ru 2.83
Ru1 0.3333 0.6667 0.6933  3 Cl 2.47

***

No. 11
Below is HgRuCl2 after structural relaxation, with properties calculated at the GGA-PBE level.

Computed properties:
Total moment: 2.62 μB per cell
Theoretical density: 7.4 g/cm³
Energy: -2.775 eV per atom
Raw formation energy: 210 kJ/mol of formula units
SG: C2/m (12)
Energy above the most stable polymorph in this dataset: 0.721 eV/atom

Cell lengths 5.5183, 5.5183, 3.3474 Å; angles 71.64, 71.64, 105.65 degrees
With the nearest neighbours (Å) after each atom.
Fractional coordinates of all 4 atoms:
Ru1 0.0000 0.5000 0.5000  4 Cl 2.74
Hg1 0.5000 0.0000 0.5000  4 Cl 2.74
Cl1 0.0000 0.0000 0.0000  2 Ru 2.74, 2 Hg 2.74
Cl2 0.5000 0.5000 0.0000  2 Hg 2.74, 2 Ru 2.74

***

No. 12
Below is Hg2RuCl after structural relaxation, with properties calculated at the GGA-PBE level.

Computed properties:
Total moment: 2.39 μB per cell
Theoretical density: 10.7 g/cm³
Energy: -2.321 eV per atom
Raw formation energy: 236 kJ/mol of formula units
SG: Pmmm (47)
Energy above the most stable polymorph in this dataset: 0.415 eV/atom

Cell lengths 3.1877, 4.7839, 5.4728 Å; angles 90.00, 90.00, 90.00 degrees
With the nearest neighbours (Å) after each atom.
Fractional coordinates of all 4 atoms:
Cl1 0.0000 0.5000 0.5000  4 Ru 2.87, 4 Hg 3.17, 2 Cl 3.19
Hg1 0.0000 0.0000 0.0000  6 Hg 2.87-3.19, 4 Ru 3.17
Hg2 0.5000 0.5000 0.0000  6 Hg 2.87-3.19, 4 Cl 3.17
Ru1 0.5000 0.0000 0.5000  4 Cl 2.87, 4 Hg 3.17, 2 Ru 3.19

***

Number 1 is which compound?
Hg3RuCl

***

Number 1 is which compound?
Hg3RuCl

***

Repeat the first record exactly.
Below is Hg3RuCl after structural relaxation, with properties calculated at the GGA-PBE level.

Computed properties:
Total moment: 2.86 μB per cell
Theoretical density: 7.2 g/cm³
Energy: -1.133 eV per atom
Raw formation energy: 614 kJ/mol of formula units
SG: Pm-3m (221)
Energy above the most stable polymorph in this dataset: 0.846 eV/atom

Cell lengths 5.5357, 5.5357, 5.5357 Å; angles 90.00, 90.00, 90.00 degrees
With the nearest neighbours (Å) after each atom.
Fractional coordinates of all 5 atoms:
Ru1 0.5000 0.5000 0.5000  12 Hg 3.91
Hg1 0.0000 0.5000 0.0000  2 Cl 2.77
Hg2 0.0000 0.0000 0.5000  2 Cl 2.77
Hg3 0.5000 0.0000 0.0000  2 Cl 2.77
Cl1 0.0000 0.0000 0.0000  6 Hg 2.77

***

Look up the total moment of the ninth one.
2.08 μB per cell